DFT (PBE+U) results for a relaxed structure of PuTiV2O6.

Summary:
As for the density of states at the Fermi level: 5.4 states/eV/f.u. The calculation puts the spin magnetization at 30.0 μB per cell. Its energy is -9.179 eV per atom. The crystal system is trigonal.

Structure (CIF):
```
data_PuTiV2O6
_chemical_formula_sum 'Pu3 Ti3 V6 O18'
_symmetry_space_group_name_H-M 'R 3'
_symmetry_Int_Tables_number 146
_symmetry_space_group_name_Hall 'R 3'
_cell_length_a 5.3440
_cell_length_b 5.3440
_cell_length_c 14.5948
_cell_angle_alpha 90.00
_cell_angle_beta 90.00
_cell_angle_gamma 120.00
loop_
_atom_site_label
_atom_site_fract_x
_atom_site_fract_y
_atom_site_fract_z
_atom_site_occupancy
Pu1 0.0000 0.0000 0.0000 1
Ti1 0.0000 0.0000 0.5041 1
V1 0.0000 0.0000 0.2049 1
V2 0.0000 0.0000 0.7050 1
O1 0.0010 0.3518 0.7785 1
O2 0.0585 0.6879 0.2696 1
```